Entry from Alexandria: an optimized crystal structure of YMgSc2 (GGA-PBEsol).

Summary:
formation energy from the elements = -3 meV/atom
size of the total moment = 0.0 μB per formula unit
electronic total energy = -5.440 eV/atom

a b c (Å): 3.362 3.362 8.907
angles (deg): 90.00 90.00 90.00
Space group P4mm (No. 99)
Symmetry-distinct sites (fractional):
Y 0.000 0.000 0.000 [1 per cell]
Mg 0.500 0.500 0.265 [1 per cell]
Sc 0.000 0.000 0.501 [1 per cell]
Sc 0.500 0.500 0.738 [1 per cell]



Entry from Alexandria: an optimized crystal structure of YMgSc2 (GGA-PBEsol).

Summary:
formation energy from the elements = 11 meV/atom
size of the total moment = 0.0 μB per formula unit
electronic total energy = -5.426 eV/atom

a b c (Å): 3.370 3.370 8.816
angles (deg): 90.00 90.00 90.00
Space group P4/mmm (No. 123)
Symmetry-distinct sites (fractional):
Y 0.000 0.000 0.000 [1 per cell]
Mg 0.000 0.000 0.500 [1 per cell]
Sc 0.500 0.500 0.266 [2 per cell]



Entry from Alexandria: an optimized crystal structure of YMgSc2 (GGA-PBEsol).

Summary:
formation energy from the elements = 53 meV/atom
size of the total moment = 0.0 μB per formula unit
electronic total energy = -5.385 eV/atom

a b c (Å): 3.815 5.087 5.158
angles (deg): 90.00 90.00 90.00
Space group Pmmm (No. 47)
Symmetry-distinct sites (fractional):
Y 0.000 0.000 0.000 [1 per cell]
Mg 0.500 0.000 0.500 [1 per cell]
Sc 0.000 0.500 0.500 [1 per cell]
Sc 0.500 0.500 0.000 [1 per cell]



Entry from Alexandria: an optimized crystal structure of YMgSc2 (GGA-PBEsol).

Summary:
formation energy from the elements = 39 meV/atom
size of the total moment = 0.0 μB per formula unit
electronic total energy = -5.399 eV/atom

a b c (Å): 3.344 4.549 6.626
angles (deg): 90.00 90.00 90.00
Space group Pmm2 (No. 25)
Symmetry-distinct sites (fractional):
Y 0.000 0.000 0.000 [1 per cell]
Mg 0.500 0.500 0.262 [1 per cell]
Sc 0.000 0.000 0.510 [1 per cell]
Sc 0.500 0.500 0.739 [1 per cell]



Entry from Alexandria: an optimized crystal structure of YMgSc2 (GGA-PBEsol).

Summary:
formation energy from the elements = 54 meV/atom
size of the total moment = 0.0 μB per formula unit
electronic total energy = -5.383 eV/atom

a b c (Å): 4.768 4.768 8.781
angles (deg): 90.00 90.00 90.00
Space group I-4m2 (No. 119)
Symmetry-distinct sites (fractional):
Y 0.000 0.000 0.000 [2 per cell]
Mg 0.000 0.500 0.250 [2 per cell]
Sc 0.000 0.000 0.500 [2 per cell]
Sc 0.000 0.500 0.750 [2 per cell]



Entry from Alexandria: an optimized crystal structure of YMg4Sc (GGA-PBEsol).

Summary:
formation energy from the elements = -26 meV/atom
size of the total moment = 0.0 μB per formula unit
electronic total energy = -3.409 eV/atom

a b c (Å): 8.328 8.328 8.328
angles (deg): 90.00 90.00 90.00
Space group F-43m (No. 216)
Symmetry-distinct sites (fractional):
Y 0.000 0.000 0.000 [4 per cell]
Mg 0.125 0.125 0.625 [16 per cell]
Sc 0.250 0.250 0.250 [4 per cell]



Entry from Alexandria: an optimized crystal structure of Y2MgSc (GGA-PBEsol).

Summary:
formation energy from the elements = 16 meV/atom
size of the total moment = 0.0 μB per formula unit
electronic total energy = -5.476 eV/atom

a b c (Å): 7.116 8.256 3.663
angles (deg): 90.00 90.00 90.00
Space group Cmmm (No. 65)
Symmetry-distinct sites (fractional):
Y 0.250 0.250 0.000 [4 per cell]
Mg 0.000 0.000 0.500 [2 per cell]
Sc 0.000 0.500 0.500 [2 per cell]



Entry from Alexandria: an optimized crystal structure of YMgSc2 (GGA-PBEsol).

Summary:
formation energy from the elements = 48 meV/atom
size of the total moment = 0.0 μB per formula unit
electronic total energy = -5.389 eV/atom

a b c (Å): 3.2881 3.2881 32.2294
angles (deg): 90.00 90.00 120.00
Space group R-3m (No. 166, hexagonal axes)
Symmetry-distinct sites (fractional):
Y 0.0000 0.0000 0.0000 [3 per cell]
Mg 0.0000 0.0000 0.5000 [3 per cell]
Sc 0.0000 0.0000 0.2477 [6 per cell]